# 1
# PrZrTaN3

PrZrTaN3 after structural relaxation (PBE, Alexandria).

Calculated values
DOS at the Fermi energy   1.8 states/eV/f.u.
Formation energy from raw total energies   -1.393 eV/atom
V   160.2 Å³ per cell

```
data_PrZrTaN3
_cell_length_a 5.7783
_cell_length_b 3.3333
_cell_length_c 8.5405
_cell_angle_alpha 90.00
_cell_angle_beta 103.12
_cell_angle_gamma 90.00
_symmetry_space_group_name_H-M 'P 1 21/m 1'
_symmetry_Int_Tables_number 11
_symmetry_space_group_name_Hall '-P 2yb'
loop_
_atom_site_label
_atom_site_fract_x
_atom_site_fract_y
_atom_site_fract_z
Pr1 0.1478 0.2500 0.1902
Zr1 0.2667 0.7500 0.5468
Ta1 0.3746 0.2500 0.8611
N1 0.0660 0.2500 0.6590
N2 0.2639 0.7500 0.9845
N3 0.4648 0.7500 0.3441
```

***

# 2
# Tb2Pr4N

Tb2Pr4N after structural relaxation (PBE, Alexandria).

Calculated values
DOS at the Fermi energy   9.9 states/eV/f.u.
Formation energy from raw total energies   -0.159 eV/atom
V   453.7 Å³ per cell

```
data_Tb2Pr4N
_cell_length_a 5.0560
_cell_length_b 5.0560
_cell_length_c 17.7467
_cell_angle_alpha 90.00
_cell_angle_beta 90.00
_cell_angle_gamma 90.00
_symmetry_space_group_name_H-M 'I 4/m m m'
_symmetry_Int_Tables_number 139
_symmetry_space_group_name_Hall '-I 4 2'
loop_
_atom_site_label
_atom_site_fract_x
_atom_site_fract_y
_atom_site_fract_z
Tb1 0.0000 0.0000 0.1638
Pr1 0.0000 0.0000 0.3633
Pr2 0.0000 0.5000 0.0000
N1 0.0000 0.0000 0.5000
```

***

# 3
# TbPr3N4

TbPr3N4 after structural relaxation (PBE, Alexandria).

Calculated values
Distance to the lowest polymorph of the same formula   0 meV per atom
DOS at the Fermi energy   0.7 states/eV/f.u.
Formation energy from raw total energies   -1.362 eV/atom
V   274.1 Å³ per cell

```
data_TbPr3N4
_cell_length_a 6.3125
_cell_length_b 7.2956
_cell_length_c 6.3113
_cell_angle_alpha 90.00
_cell_angle_beta 109.44
_cell_angle_gamma 90.00
_symmetry_space_group_name_H-M 'P 1 2/c 1'
_symmetry_Int_Tables_number 13
_symmetry_space_group_name_Hall '-P 2yc'
loop_
_atom_site_label
_atom_site_fract_x
_atom_site_fract_y
_atom_site_fract_z
Tb1 0.0000 0.1255 0.2500
Pr1 0.0000 0.3714 0.7500
Pr2 0.5000 0.1242 0.7500
Pr3 0.5000 0.3711 0.2500
N1 0.2418 0.1248 0.0024
N2 0.2462 0.3645 0.4937
```